A.
The following is a PBE-GGA calculation of a relaxed structure of GaSi2Te, from Alexandria.

a = 4.822 Å, b = 4.822 Å, c = 4.822 Å
α = 60.00°, β = 60.00°, γ = 60.00°
Fractional positions:
Ga: 0.000 0.000 0.000
Si: 0.250 0.250 0.250
Te: 0.500 0.500 0.500
Si: 0.750 0.750 0.750


B.
The following is a PBE-GGA calculation of a relaxed structure of GaSi2Te, from Alexandria.

a = 5.934 Å, b = 5.934 Å, c = 7.293 Å
α = 65.99°, β = 65.99°, γ = 90.00°
Fractional positions:
Si: 0.578 0.125 0.250
Ga: 0.500 0.500 0.000
Si: 0.875 0.828 0.750
Ga: 0.250 0.750 0.500
Si: 0.172 0.625 0.250
Si: 0.375 0.422 0.750
Te: 0.750 0.250 0.500
Te: 0.000 0.000 0.000


List of relative energies, unit meV per atom: A 216; B 0


A.
The following is a PBE-GGA calculation of a relaxed structure of Ga2SiTe2, from Alexandria.

a = 5.658 Å, b = 5.658 Å, c = 5.589 Å
α = 59.59°, β = 59.59°, γ = 90.00°
Fractional positions:
Te: 0.250 0.750 0.500
Te: 0.750 0.250 0.500
Ga: 0.665 0.665 0.670
Ga: 0.335 0.335 0.330
Si: 0.000 0.000 0.000


B.
The following is a PBE-GGA calculation of a relaxed structure of Ga2SiTe2, from Alexandria.

a = 7.639 Å, b = 7.639 Å, c = 4.096 Å
α = 90.00°, β = 90.00°, γ = 90.00°
Fractional positions:
Si: 0.500 0.500 0.000
Ga: 0.121 0.379 0.000
Te: 0.797 0.297 0.500
Te: 0.297 0.203 0.500
Ga: 0.879 0.621 0.000
Ga: 0.379 0.879 0.000
Ga: 0.621 0.121 0.000
Si: 0.000 0.000 0.000
Te: 0.203 0.703 0.500
Te: 0.703 0.797 0.500


List of relative energies, unit meV per atom: A 0; B 48